# 1
Below is CaNiPb3 after structural relaxation, with properties calculated at the GGA-PBE level.

DFT formation energy ... -0.24 eV/f.u.
Size of the total moment ... 0.000 μB/atom
Symmetry ... Pm-3m (221)
Final energy ... -3.8299 eV/atom
Energy above the lowest structure with this stoichiometry ... 0 meV per atom

```
5
Lattice="5.2354 0.0000 0.0000 0.0000 5.2354 0.0000 0.0000 0.0000 5.2354" Properties=species:S:1:pos:R:3 pbc="T T T"
Ca 0.0000 0.0000 0.0000
Ni 2.6177 2.6177 2.6177
Pb 0.0000 2.6177 2.6177
Pb 2.6177 0.0000 2.6177
Pb 2.6177 2.6177 0.0000
```


# 2
Below is Sc6Be7 after structural relaxation, with properties calculated at the GGA-PBE level.

DFT formation energy ... 0.68 eV/f.u.
Size of the total moment ... 0.000 μB/atom
Symmetry ... R-3m (166)
Final energy ... -4.8763 eV/atom

```
13
Lattice="2.4329 1.4046 9.5802 -2.4329 1.4046 9.5802 0.0000 -2.8092 9.5802" Properties=species:S:1:pos:R:3 pbc="T T T"
Sc 0.0000 0.0000 1.5053
Sc 0.0000 0.0000 4.3344
Sc 0.0000 0.0000 9.6235
Sc 0.0000 0.0000 19.1172
Sc 0.0000 0.0000 24.4063
Sc 0.0000 0.0000 27.2354
Be -1.2108 -0.6991 12.4213
Be 0.0000 -1.3982 16.3194
Be -1.2108 0.6991 16.3194
Be 0.0000 0.0000 14.3703
Be 1.2108 -0.6991 12.4214
Be 0.0000 1.3982 12.4214
Be 1.2108 0.6991 16.3193
```


# 3
Below is KMoAu2 after structural relaxation, with properties calculated at the GGA-PBE level.

DFT formation energy ... 1.71 eV/f.u.
Size of the total moment ... 0.000 μB/atom
Symmetry ... C2/m (12)
Final energy ... -4.1931 eV/atom
Energy above the lowest structure with this stoichiometry ... 142 meV per atom

```
8
Lattice="8.8335 0.0000 0.0000 0.0000 2.7610 0.0000 -0.6033 0.0000 7.5448" Properties=species:S:1:pos:R:3 pbc="T T T"
K 0.0000 0.0000 0.0000
K 4.4168 1.3805 0.0000
Mo -0.3016 1.3805 3.7724
Mo 4.1151 0.0000 3.7724
Au 1.7315 0.0000 5.1423
Au 2.0820 1.3805 2.4025
Au 6.1483 1.3805 5.1423
Au 6.4987 0.0000 2.4025
```